[1]
DFT (PBE) results for a relaxed structure of CeYHgO2.

a b c (Å): 3.996 3.996 6.865
angles (deg): 106.92 106.92 90.00
Last column: magnetic moment on the atom in μB.
Positions (direct):
Ce: 0.156 0.156 0.313  0.52
Y: 0.836 0.836 0.673  0.02
Hg: 0.504 0.504 0.007  0.02
O: 0.752 0.252 0.504  -0.01
O: 0.252 0.752 0.504  -0.01

## Properties
Space-group type: I4mm (107)
E_form (uncorrected): -2.45 eV per atom
Calculated volume: 100 Å³ per cell
Mass density: 7.672 g/cm3



[2]
DFT (PBE) results for a relaxed structure of Ce2Hg2Os.

a b c (Å): 3.289 3.289 11.103
angles (deg): 98.52 98.52 90.00
Positions (direct):
Ce: 0.585 0.585 0.169
Ce: 0.415 0.415 0.831
Hg: 0.802 0.802 0.605
Hg: 0.198 0.198 0.395
Os: 0.000 0.000 0.000

## Properties
Formation energy: -0.246 eV/atom
Space-group type: I4/mmm (139)
Calculated volume: 117 Å³ per cell
Mass density: 12.323 g/cm3



[3]
DFT (PBE) results for a relaxed structure of Ce4HgOs.

a b c (Å): 5.935 8.883 7.528
angles (deg): 116.54 100.36 111.30
Last column: magnetic moment on the atom in μB.
Positions (direct):
Ce: 0.018 0.169 0.795  0.35
Ce: 0.763 0.685 0.620  0.26
Ce: 0.277 0.626 0.795  0.35
Ce: 0.357 0.935 0.620  0.26
Ce: 0.643 0.065 0.380  0.26
Ce: 0.723 0.374 0.205  0.35
Ce: 0.237 0.315 0.380  0.26
Ce: 0.982 0.831 0.205  0.35
Hg: 0.354 0.604 0.209  0.00
Hg: 0.646 0.396 0.791  0.00
Os: 0.253 0.003 0.006  -0.05
Os: 0.747 0.997 0.994  -0.05

## Properties
Formation energy: -0.210 eV/atom
Space-group type: C2/c (15)
E above lowest polymorph: 0.0 meV per atom
Calculated volume: 302 Å³ per cell
Mass density: 10.473 g/cm3



[4]
DFT (PBE) results for a relaxed structure of Ce3HgOs.

a b c (Å): 3.737 8.314 8.242
angles (deg): 86.66 103.10 90.00
Last column: magnetic moment on the atom in μB.
Positions (direct):
Ce: 0.411 0.553 0.323  0.57
Ce: 0.197 0.649 0.895  0.22
Ce: 0.648 0.004 0.795  0.28
Ce: 0.589 0.447 0.677  0.57
Ce: 0.352 0.996 0.205  0.28
Ce: 0.803 0.351 0.105  0.22
Hg: 0.993 0.197 0.487  0.00
Hg: 0.007 0.803 0.513  0.00
Os: 0.808 0.767 0.117  -0.04
Os: 0.192 0.233 0.883  -0.04

## Properties
Formation energy: -0.213 eV/atom
Space-group type: C2/m (12)
E above lowest polymorph: 0.0 meV per atom
Calculated volume: 249 Å³ per cell
Mass density: 10.821 g/cm3



Question: What is the calculated volume in the second record?
Answer: 117 Å³ per cell



Question: Look up the mass density of the third one.
Answer: 10.473 g/cm3



Copy entry 4 word for word.
DFT (PBE) results for a relaxed structure of Ce3HgOs.

a b c (Å): 3.737 8.314 8.242
angles (deg): 86.66 103.10 90.00
Last column: magnetic moment on the atom in μB.
Positions (direct):
Ce: 0.411 0.553 0.323  0.57
Ce: 0.197 0.649 0.895  0.22
Ce: 0.648 0.004 0.795  0.28
Ce: 0.589 0.447 0.677  0.57
Ce: 0.352 0.996 0.205  0.28
Ce: 0.803 0.351 0.105  0.22
Hg: 0.993 0.197 0.487  0.00
Hg: 0.007 0.803 0.513  0.00
Os: 0.808 0.767 0.117  -0.04
Os: 0.192 0.233 0.883  -0.04

## Properties
Formation energy: -0.213 eV/atom
Space-group type: C2/m (12)
E above lowest polymorph: 0.0 meV per atom
Calculated volume: 249 Å³ per cell
Mass density: 10.821 g/cm3



Question: What is the formula in the second record?
Answer: Ce2Hg2Os